Record 1
Below is a relaxed TiZnHIr2 crystal, with properties calculated at the PBE level.

Computed properties:
Magnetic moment: 0.000 μB/cell
E: -32.00 eV per cell

```
5
Lattice="4.011 0.000 0.000 0.000 4.011 0.000 0.000 0.000 3.786" Properties=species:S:1:pos:R:3 pbc="T T T"
H 0.000 0.000 0.000
Zn 2.005 2.005 1.893
Ir 0.000 2.005 0.000
Ir 2.005 0.000 0.000
Ti 0.000 0.000 1.893
```


Record 2
Below is a relaxed NaYTc3 crystal, with properties calculated at the PBE level.

Computed properties:
Formation energy: 9.734 eV/f.u.
Magnetic moment: 5.309 μB/cell
Relative energy among the computed polymorphs: 0.000 eV/atom

```
5
Lattice="-3.008 -1.629 -3.167 -0.431 -3.949 2.440 -3.535 1.867 2.397" Properties=species:S:1:pos:R:3 pbc="T T T"
Y -3.487 -1.855 0.835
Na 0.000 0.000 0.000
Tc -0.215 -1.974 1.220
Tc -1.768 0.933 1.199
Tc -1.504 -0.814 -1.584
```


Record 3
Below is a relaxed Th2MgNp crystal, with properties calculated at the PBE level.

Computed properties:
Formation energy: 3.679 eV/f.u.
Magnetic moment: 0.000 μB/cell

```
4
Lattice="3.799 0.000 0.000 1.900 3.290 0.000 1.900 1.097 10.093" Properties=species:S:1:pos:R:3 pbc="T T T"
Np 3.799 2.194 5.047
Mg 0.000 0.000 0.000
Th 1.900 1.097 6.709
Th 5.699 3.290 3.385
```


- What is the formula in the first record?
  TiZnHIr2